DFT (GGA+U) results for an optimized crystal structure of Ac3MgCo2O9.

a b c (Å): 5.5392 5.5392 6.7882
angles (deg): 90.00 90.00 120.00
Closest atoms and distances in Å follow each position.
Fractional coordinates of all 15 atoms:
Ac 0.0000 0.0000 0.0000  12 O 2.76-2.77
Ac 0.3333 0.6667 0.6715  12 O 2.74-2.81
Ac 0.6667 0.3333 0.3285  12 O 2.74-2.81
Mg 0.0000 0.0000 0.5000  6 O 2.04
Co 0.3333 0.6667 0.1688  6 O 1.87-1.97
Co 0.6667 0.3333 0.8312  6 O 1.87-1.97
O 0.0000 0.5000 0.0000  2 Co 1.97
O 0.1730 0.3460 0.3257  1 Co 1.87, 1 Mg 2.04
O 0.1730 0.8270 0.3257  1 Co 1.87, 1 Mg 2.04
O 0.3460 0.1730 0.6743  1 Co 1.87, 1 Mg 2.04
O 0.5000 0.0000 0.0000  2 Co 1.97
O 0.5000 0.5000 0.0000  2 Co 1.97
O 0.6540 0.8270 0.3257  1 Co 1.87, 1 Mg 2.04
O 0.8270 0.1730 0.6743  1 Co 1.87, 1 Mg 2.04
O 0.8270 0.6540 0.6743  1 Co 1.87, 1 Mg 2.04

Properties
* raw total energy: -6.973 eV per atom
* M_tot: 1.00 μB/cell